Record 1
The following is a GGA-PBE calculation of a relaxed structure of NpCo, from the Open Quantum Materials Database.

As for the crystal system: tetragonal. For the calculated volume, the calculation gives 15.0 Å³ per atom. Its energy of formation is 0.380 eV/atom.

The space group is P4/mmm (No. 123) and the conventional cell measures 2.7397, 2.7397 and 4.0097 Å, with angles of 90.00, 90.00 and 90.00 degrees. The asymmetric unit holds Np at (0.0000, 0.0000, 0.0000) and Co at (0.5000, 0.5000, 0.5000).


Record 2
The following is a GGA-PBE calculation of a relaxed structure of NpCo, from the Open Quantum Materials Database.

As for the crystal system: cubic. For the calculated volume, the calculation gives 21.9 Å³ per atom. Its energy of formation is 0.981 eV/atom.

The space group is F-43m (No. 216) and the conventional cell measures 5.5957, 5.5957 and 5.5957 Å, with angles of 90.00, 90.00 and 90.00 degrees. The asymmetric unit holds Np at (0.0000, 0.0000, 0.0000) and Co at (0.2500, 0.2500, 0.2500).


Record 3
The following is a GGA-PBE calculation of a relaxed structure of Np3Co, from the Open Quantum Materials Database.

As for the crystal system: cubic. For the calculated volume, the calculation gives 16.0 Å³ per atom. Its energy of formation is -0.007 eV/atom.

The space group is Fm-3m (No. 225) and the conventional cell measures 6.3556, 6.3556 and 6.3556 Å, with angles of 90.00, 90.00 and 90.00 degrees. The asymmetric unit holds Np at (0.0000, 0.0000, 0.0000), Np at (0.2500, 0.2500, 0.2500) and Co at (0.0000, 0.0000, 0.5000).


M_tot / μB/f.u.: 2.048 3.876 2.186
DFT total energy / eV/atom: -9.56 -8.96 -11.36
Calculated density / Mg/m³: 16.3 11.2 19.9